Record 1
! PBE-GGA LiSbAu2, optimized geometry; values from VASP
&SYSTEM
  ibrav = 0, nat = 4, ntyp = 3
/
ATOMIC_SPECIES
Li 6.94 Li.upf
Au 196.97 Au.upf
Sb 121.76 Sb.upf
ATOMIC_POSITIONS angstrom
Li -6.688 5.171 2.897
Au -1.676 3.630 2.091
Au -2.365 1.257 0.690
Sb -4.522 3.230 1.803
CELL_PARAMETERS angstrom
-3.807 2.017 -1.544
-3.882 -0.293 2.405
-1.487 4.281 2.476
! - symmetry = No. 160
! - uncorrected formation energy (meV per atom) = -240
! - DOS at the Fermi energy (states/eV/atom) = 0.28
! - crystal system = trigonal

=====

Record 2
! PBE-GGA Sm5Mg6, optimized geometry; values from VASP
&SYSTEM
  ibrav = 0, nat = 11, ntyp = 2
/
ATOMIC_SPECIES
Mg 24.30 Mg.upf
Sm 150.36 Sm.upf
ATOMIC_POSITIONS angstrom
Mg 0.444 2.351 1.443
Mg 2.396 1.486 -1.394
Mg 1.890 5.499 -3.002
Mg -0.063 6.411 -0.186
Mg 3.866 4.226 3.373
Mg 4.373 0.166 5.002
Sm 1.462 2.080 4.729
Sm 2.849 4.497 0.087
Sm -0.436 3.489 -1.400
Sm 0.893 5.381 2.902
Sm 3.417 1.196 1.914
CELL_PARAMETERS angstrom
5.158 0.006 -1.597
-0.872 6.978 -2.799
0.025 -0.408 9.212
! - symmetry = No. 71
! - DOS at the Fermi energy (states/eV/atom) = 1.24
! - crystal system = orthorhombic
! - ΔH_f (0 K) (eV/atom) = 0.02

=====

Record 3
! PBE-GGA TbNd9Sm2, optimized geometry; values from VASP
&SYSTEM
  ibrav = 0, nat = 12, ntyp = 3
/
ATOMIC_SPECIES
Nd 144.24 Nd.upf
Tb 158.93 Tb.upf
Sm 150.36 Sm.upf
ATOMIC_POSITIONS angstrom
Nd 4.995 -3.241 5.613
Nd 5.774 -6.710 6.508
Nd 2.478 -5.857 5.150
Nd 4.067 -4.309 2.231
Nd 4.184 -8.256 9.423
Nd 2.368 -1.921 -2.024
Nd 0.772 -3.459 0.877
Nd 6.701 -5.640 9.886
Nd 3.289 -0.843 1.340
Tb 0.000 0.000 0.000
Sm 3.406 -4.789 8.532
Sm 1.699 -2.388 4.254
CELL_PARAMETERS angstrom
-0.149 -4.537 -2.487
4.886 0.695 -1.561
5.105 -7.177 12.786
! - symmetry = No. 123
! - DOS at the Fermi energy (states/eV/atom) = 1.66
! - crystal system = tetragonal
! - ΔH_f (0 K) (eV/atom) = 0.01

=====

Record 4
! PBE-GGA Al2InHg2, optimized geometry; values from VASP
&SYSTEM
  ibrav = 0, nat = 5, ntyp = 3
/
ATOMIC_SPECIES
Al 26.98 Al.upf
Hg 200.59 Hg.upf
In 114.82 In.upf
ATOMIC_POSITIONS angstrom
Al 2.140 4.280 3.156
Al 4.280 2.140 3.156
Hg 2.140 2.140 1.427
Hg 4.280 4.280 4.884
In 0.000 0.000 0.000
CELL_PARAMETERS angstrom
4.280 0.000 0.000
0.000 4.280 0.000
2.140 2.140 6.312
! - polymorph energy (0 for the lowest one) (meV per atom) = 0.0
! - symmetry = No. 139
! - DOS at the Fermi energy (states/eV/atom) = 0.40
! - crystal system = tetragonal
! - ΔH_f (0 K) (eV/atom) = 0.15

=====

Record 5
! PBE-GGA TbEr6Zr, optimized geometry; values from VASP
&SYSTEM
  ibrav = 0, nat = 8, ntyp = 3
/
ATOMIC_SPECIES
Er 167.26 Er.upf
Zr 91.22 Zr.upf
Tb 158.93 Tb.upf
ATOMIC_POSITIONS angstrom
Er 4.217 3.800 7.062
Er 7.347 5.177 7.064
Er 5.443 5.422 1.591
Er 6.974 1.774 7.061
Er 8.200 3.397 1.590
Er 5.070 2.020 1.587
Zr 0.000 0.000 0.000
Tb 6.208 3.598 4.326
CELL_PARAMETERS angstrom
6.235 0.004 -0.029
3.109 5.411 -0.018
3.072 1.782 8.699
! - polymorph energy (0 for the lowest one) (meV per atom) = 436.9
! - symmetry = No. 2
! - DOS at the Fermi energy (states/eV/atom) = 1.32
! - crystal system = triclinic
! - ΔH_f (0 K) (eV/atom) = 0.68

=====

Record 6
! PBE-GGA Mg4InAg2, optimized geometry; values from VASP
&SYSTEM
  ibrav = 0, nat = 7, ntyp = 3
/
ATOMIC_SPECIES
Mg 24.30 Mg.upf
In 114.82 In.upf
Ag 107.87 Ag.upf
ATOMIC_POSITIONS angstrom
Mg -8.320 1.210 0.055
Mg -7.296 3.358 -3.537
Mg -4.289 2.410 -2.760
Mg -5.313 0.262 0.833
In 0.000 0.000 0.000
Ag -3.096 0.922 -0.715
Ag -9.513 2.699 -1.989
CELL_PARAMETERS angstrom
-2.137 4.025 -1.345
-2.732 0.056 -3.888
-7.741 -0.460 2.528
! - polymorph energy (0 for the lowest one) (meV per atom) = 0.0
! - symmetry = No. 166
! - DOS at the Fermi energy (states/eV/atom) = 0.54
! - crystal system = trigonal
! - ΔH_f (0 K) (eV/atom) = -0.11